No. 1
DFT (PBE-GGA) results for a relaxed structure of Mg3Cu2.

Size of the total moment = 0.00 μB/atom
ΔH_f (0 K) = -0.082 eV per atom
Energy above the lowest structure with this stoichiometry = 0.000 eV/atom
DFT total energy = -2.68 eV/atom

Cell: 7.233 7.233 3.315 Å, 90.00 90.00 90.00°
Space group P4/mbm (No. 127)
Symmetry-distinct sites (fractional):
Mg (0.000, 0.000, 0.000)
Mg (0.164, 0.336, 0.500)
Cu (0.129, 0.629, 0.000)

No. 2
DFT (PBE-GGA) results for a relaxed structure of Mg4Cu5.

Size of the total moment = 0.00 μB/atom
ΔH_f (0 K) = -0.017 eV per atom
Energy above the lowest structure with this stoichiometry = 0.019 eV/atom
DFT total energy = -3.00 eV/atom

Cell: 7.6846 7.6846 5.3967 Å, 90.00 90.00 120.00°
Space group P6_3/mcm (No. 193)
Symmetry-distinct sites (fractional):
Mg (0.0000, 0.0000, 0.0000)
Mg (0.0000, 0.3587, 0.2500)
Cu (0.0000, 0.3163, 0.7500)
Cu (0.3333, 0.6667, 0.0000)

No. 3
DFT (PBE-GGA) results for a relaxed structure of Mg2Cu.

Size of the total moment = 0.00 μB/atom
ΔH_f (0 K) = -0.063 eV per atom
DFT total energy = -2.49 eV/atom

Cell: 7.5852 7.5852 3.2575 Å, 90.00 90.00 120.00°
Space group P-62m (No. 189)
Symmetry-distinct sites (fractional):
Mg (0.0000, 0.2732, 0.0000)
Mg (0.0000, 0.6103, 0.5000)
Cu (0.0000, 0.0000, 0.5000)
Cu (0.3333, 0.6667, 0.0000)

No. 4
DFT (PBE-GGA) results for a relaxed structure of Mg3Cu.

Size of the total moment = 0.00 μB/atom
ΔH_f (0 K) = 0.030 eV per atom
DFT total energy = -2.19 eV/atom

Cell: 3.032 4.406 5.903 Å, 90.00 104.72 90.00°
Space group P2/m (No. 10)
Symmetry-distinct sites (fractional):
Mg (0.000, 0.000, 0.000)
Mg (0.414, 0.500, 0.729)
Cu (0.000, 0.000, 0.500)

> What is the size of the total moment in the fourth record?

0.00 μB/atom

> Look up the ΔH_f (0 K) of the second one.

-0.017 eV per atom

> Look up the DFT total energy of the first one.

-2.68 eV/atom